[1]
Below is a crystal of Mg2TlCrCu relaxed with PBEsol, with properties calculated at the meta-GGA SCAN level.

Values from the calculation:
M_tot in μB/f.u.: 4.83
DOS(E_F) in states/eV/f.u.: 1.666
Formation energy in eV per formula unit: 1.88
Total DFT energy (no corrections) in eV for the cell shown: -114.009

abc: 4.826 4.826 4.839
angles: 90.00 90.00 90.00
Last column: magnetic moment on the atom in μB.
Fractional coordinates of all 5 atoms:
1 Cr 0.500 0.500 0.500  4.27
2 Tl 0.000 0.000 0.500  -0.01
3 Mg 0.000 0.500 0.000  -0.01
4 Mg 0.500 0.000 0.000  -0.01
5 Cu 0.000 0.000 0.000  0.01

[2]
Below is a crystal of Mn2CrCu relaxed with PBEsol, with properties calculated at the meta-GGA SCAN level.

Values from the calculation:
M_tot in μB/f.u.: 0.00
DOS(E_F) in states/eV/f.u.: 4.229
Formation energy in eV per formula unit: 1.37
Total DFT energy (no corrections) in eV for the cell shown: -68.722

abc: 2.470 2.470 8.349
angles: 81.49 81.49 60.00
Fractional coordinates of all 4 atoms:
1 Cr 0.500 0.500 0.500
2 Cu 0.000 0.000 0.000
3 Mn 0.247 0.247 0.259
4 Mn 0.753 0.753 0.741

[3]
Below is a crystal of Mn2CrCu relaxed with PBEsol, with properties calculated at the meta-GGA SCAN level.

Values from the calculation:
M_tot in μB/f.u.: 2.93
DOS(E_F) in states/eV/f.u.: 3.224
Formation energy in eV per formula unit: 0.22
Total DFT energy (no corrections) in eV for the cell shown: -69.879

abc: 2.886 2.886 5.512
angles: 90.00 90.00 90.00
Last column: magnetic moment on the atom in μB.
Fractional coordinates of all 4 atoms:
1 Cr 0.000 0.000 0.481  -2.46
2 Cu 0.500 0.500 0.750  -0.02
3 Mn 0.000 0.000 0.999  3.40
4 Mn 0.500 0.500 0.270  2.11

[4]
Below is a crystal of Mn2CrCu relaxed with PBEsol, with properties calculated at the meta-GGA SCAN level.

Values from the calculation:
M_tot in μB/f.u.: 0.37
DOS(E_F) in states/eV/f.u.: 3.112
Formation energy in eV per formula unit: 0.78
Total DFT energy (no corrections) in eV for the cell shown: -69.315

abc: 2.462 3.561 4.938
angles: 90.00 90.00 90.00
Last column: magnetic moment on the atom in μB.
Fractional coordinates of all 4 atoms:
1 Cr 0.000 0.000 0.485  -0.03
2 Cu 0.500 0.500 0.751  0.02
3 Mn 0.000 0.000 0.021  2.44
4 Mn 0.500 0.500 0.243  -2.03

[5]
Below is a crystal of MnCr2Cu relaxed with PBEsol, with properties calculated at the meta-GGA SCAN level.

Values from the calculation:
M_tot in μB/f.u.: 0.00
DOS(E_F) in states/eV/f.u.: 2.761
Formation energy in eV per formula unit: 1.12
Total DFT energy (no corrections) in eV for the cell shown: -69.106

abc: 3.536 3.536 4.302
angles: 114.26 114.26 90.00
Fractional coordinates of all 4 atoms:
1 Cr 0.750 0.250 0.500
2 Cr 0.250 0.750 0.500
3 Cu 0.500 0.500 0.000
4 Mn 0.000 0.000 0.000

[6]
Below is a crystal of MnCr2CuPd relaxed with PBEsol, with properties calculated at the meta-GGA SCAN level.

Values from the calculation:
M_tot in μB/f.u.: 13.11
DOS(E_F) in states/eV/f.u.: 4.405
Formation energy in eV per formula unit: 5.23
Total DFT energy (no corrections) in eV for the cell shown: -97.770

abc: 4.711 4.725 4.725
angles: 90.00 90.00 90.00
Last column: magnetic moment on the atom in μB.
Fractional coordinates of all 5 atoms:
1 Cr 0.000 0.000 0.500  3.80
2 Cr 0.000 0.500 0.000  3.80
3 Mn 0.500 0.000 0.000  4.35
4 Cu 0.500 0.500 0.500  0.03
5 Pd 0.000 0.000 0.000  0.35

[7]
Below is a crystal of CrCu2Mo relaxed with PBEsol, with properties calculated at the meta-GGA SCAN level.

Values from the calculation:
M_tot in μB/f.u.: 1.75
DOS(E_F) in states/eV/f.u.: 1.575
Formation energy in eV per formula unit: 1.10
Total DFT energy (no corrections) in eV for the cell shown: -82.568

abc: 3.683 3.683 4.494
angles: 114.19 114.19 90.00
Last column: magnetic moment on the atom in μB.
Fractional coordinates of all 4 atoms:
1 Cr 0.250 0.750 0.500  2.74
2 Cu 0.000 0.000 0.000  0.01
3 Cu 0.750 0.250 0.500  -0.09
4 Mo 0.500 0.500 0.000  -1.01

[8]
Below is a crystal of Cr3CuMo relaxed with PBEsol, with properties calculated at the meta-GGA SCAN level.

Values from the calculation:
M_tot in μB/f.u.: 9.03
DOS(E_F) in states/eV/f.u.: 2.100
Formation energy in eV per formula unit: 7.31
Total DFT energy (no corrections) in eV for the cell shown: -97.930

abc: 4.537 4.537 4.537
angles: 90.00 90.00 90.00
Last column: magnetic moment on the atom in μB.
Fractional coordinates of all 5 atoms:
1 Cr 0.000 0.500 0.000  3.19
2 Cr 0.000 0.000 0.500  3.19
3 Cr 0.500 0.000 0.000  3.19
4 Mo 0.000 0.000 0.000  -1.25
5 Cu 0.500 0.500 0.500  0.05